(1)
DFT (PBE) results for an optimized crystal structure of CsSc3Ni.

Its crystal system is cubic. As for the final energy: -3.370 eV per atom. Its density of states at the Fermi level is 1.040 states/eV/atom. The formation energy is 1756 meV per atom.

Structure (CIF):
```
data_CsSc3Ni
_symmetry_space_group_name_H-M 'P m -3 m'
_symmetry_Int_Tables_number 221
_symmetry_space_group_name_Hall '-P 4 2 3'
_cell_length_a 5.1669
_cell_length_b 5.1669
_cell_length_c 5.1669
_cell_angle_alpha 90.00
_cell_angle_beta 90.00
_cell_angle_gamma 90.00
loop_
_atom_site_label
_atom_site_fract_x
_atom_site_fract_y
_atom_site_fract_z
Cs1 0.0000 0.0000 0.0000
Sc1 0.0000 0.0000 0.5000
Ni1 0.5000 0.5000 0.5000
```


(2)
DFT (PBE) results for an optimized crystal structure of CsSc3Ni.

Its crystal system is cubic. As for the final energy: -4.814 eV per atom. Its density of states at the Fermi level is 2.649 states/eV/atom. The formation energy is 311 meV per atom.

Structure (CIF):
```
data_CsSc3Ni
_symmetry_space_group_name_H-M 'P m -3 m'
_symmetry_Int_Tables_number 221
_symmetry_space_group_name_Hall '-P 4 2 3'
_cell_length_a 5.1685
_cell_length_b 5.1685
_cell_length_c 5.1685
_cell_angle_alpha 90.00
_cell_angle_beta 90.00
_cell_angle_gamma 90.00
loop_
_atom_site_label
_atom_site_fract_x
_atom_site_fract_y
_atom_site_fract_z
Cs1 0.0000 0.0000 0.0000
Sc1 0.0000 0.5000 0.5000
Ni1 0.5000 0.5000 0.5000
```


Q: Among the records above, which one has the lowest density of states at the Fermi level?
A: number 1